# 1
Material: Li2TcP
Method: DFT, GGA-PBE
State: optimized geometry

Unit cell a=3.4883 b=3.4883 c=4.2165 alpha=90.00 beta=90.00 gamma=90.00
Closest atoms and distances in Å follow each position.
Positions (direct):
Li 0.0000 0.5000 0.0000  4 Li 2.47, 4 Tc 2.74, 4 P 2.74
Li 0.5000 0.0000 0.0000  4 Li 2.47, 4 Tc 2.74, 4 P 2.74
Tc 0.0000 0.0000 0.5000  4 P 2.47, 8 Li 2.74
P 0.5000 0.5000 0.5000  4 Tc 2.47, 8 Li 2.74

Properties
space group	P4/mmm, No. 123
formation energy	-0.16	eV per atom
calculated total energy	-5.059	eV/atom
calculated volume	12.827	Å³/atom


# 2
Material: Li2TcP
Method: DFT, GGA-PBE
State: optimized geometry

Unit cell a=3.5891 b=3.5891 c=4.4564 alpha=113.66 beta=113.66 gamma=89.91
Closest atoms and distances in Å follow each position.
Positions (direct):
Li 0.0000 0.0000 0.0000  4 Tc 2.53-2.54, 4 P 2.56-2.57, 4 Li 2.56-2.57
Li 0.7501 0.2499 0.5000  4 P 2.53-2.54, 4 Li 2.56-2.57, 4 Tc 2.56-2.57
Tc 0.4996 0.5004 0.0000  8 Li 2.53-2.57, 4 P 2.56-2.57
P 0.2495 0.7505 0.5000  8 Li 2.53-2.57, 4 Tc 2.56-2.57

Properties
space group	C2, No. 5
formation energy	-0.24	eV per atom
calculated total energy	-5.140	eV/atom
calculated volume	11.821	Å³/atom


# 3
Material: Li2TcP
Method: DFT, GGA-PBE
State: optimized geometry

Unit cell a=4.9956 b=4.9956 c=4.9956 alpha=139.53 beta=139.53 gamma=58.57
Closest atoms and distances in Å follow each position.
Positions (direct):
Li 0.2500 0.7500 0.5000  4 Li 2.44
Li 0.7500 0.2500 0.5000  4 Li 2.44
Tc 0.0000 0.0000 0.0000  4 P 2.44
P 0.5000 0.5000 0.0000  4 Tc 2.44

Properties
space group	I4/mmm, No. 139
formation energy	-0.12	eV per atom
calculated total energy	-5.017	eV/atom
calculated volume	13.010	Å³/atom